{"formula": "Pm2Sb3PtRh4", "functional": "PBE-GGA", "state": "optimized geometry", "lattice_angstrom": [[-2.756, 0.611, -3.103], [-2.479, -2.974, 1.616], [-5.510, 8.118, 6.490]], "species": ["Pm", "Pm", "Rh", "Rh", "Sb", "Pt", "Sb", "Rh", "Rh", "Sb"], "fractional_positions": [[0.500, 0.000, 0.274], [0.000, 0.500, 0.726], [0.500, 0.000, 0.654], [0.500, 0.500, 0.000], [0.000, 0.500, 0.132], [0.500, 0.500, 0.500], [0.000, 0.000, 0.500], [0.000, 0.000, 0.000], [0.000, 0.500, 0.346], [0.500, 0.000, 0.868]], "formation_energy_uncorrected_ev_per_atom": -0.75, "magmom_total_mub_per_fu": 0.00, "vol_a3_per_atom": 20.70}

---

{"formula": "La2SiAu3", "functional": "PBE-GGA", "state": "optimized geometry", "lattice_angstrom": [[3.909, 0.000, 0.000], [0.000, 4.496, 0.000], [0.000, 0.000, 8.188]], "species": ["La", "La", "Si", "Au", "Au", "Au"], "fractional_positions": [[0.000, 0.500, 0.006], [0.000, 0.000, 0.497], [0.500, 0.500, 0.328], [0.500, 0.500, 0.641], [0.500, 0.000, 0.185], [0.500, 0.000, 0.843]], "formation_energy_uncorrected_ev_per_atom": -0.81, "relative_energy_mev_per_atom": 8, "magmom_total_mub_per_fu": 0.00, "vol_a3_per_atom": 23.98}

---

{"formula": "Hf3ZnFe", "functional": "PBE-GGA", "state": "optimized geometry", "lattice_angstrom": [[4.749, 0.000, 0.000], [0.000, 4.749, 0.000], [0.000, 0.000, 4.749]], "species": ["Hf", "Hf", "Hf", "Fe", "Zn"], "fractional_positions": [[0.500, 0.000, 0.000], [0.000, 0.500, 0.000], [0.000, 0.000, 0.500], [0.000, 0.000, 0.000], [0.500, 0.500, 0.500]], "delta_e_f_ev_per_atom": 0.31, "relative_energy_mev_per_atom": 468, "magmom_total_mub_per_fu": 0.00, "vol_a3_per_atom": 21.42}

---

{"formula": "Pr12Ge6C", "functional": "PBE-GGA", "state": "optimized geometry", "lattice_angstrom": [[8.503, 0.027, 0.033], [-1.262, 8.409, 0.033], [-1.262, -1.470, 8.280]], "species": ["Ge", "Pr", "Pr", "Ge", "Pr", "Ge", "Pr", "Ge", "Pr", "Pr", "C", "Pr", "Pr", "Pr", "Pr", "Pr", "Ge", "Ge", "Pr"], "fractional_positions": [[0.374, 0.704, 0.877], [0.187, 0.429, 0.568], [0.935, 0.026, 0.692], [0.704, 0.877, 0.374], [0.429, 0.568, 0.187], [0.877, 0.374, 0.704], [0.026, 0.692, 0.935], [0.626, 0.296, 0.123], [0.065, 0.974, 0.308], [0.692, 0.935, 0.026], [0.000, 0.000, 0.000], [0.568, 0.187, 0.429], [0.813, 0.571, 0.432], [0.432, 0.813, 0.571], [0.974, 0.308, 0.065], [0.571, 0.432, 0.813], [0.296, 0.123, 0.626], [0.123, 0.626, 0.296], [0.308, 0.065, 0.974]], "delta_e_f_ev_per_atom": -0.46, "magmom_total_mub_per_fu": 0.00, "vol_a3_per_atom": 31.22}

---

{"formula": "LaHf3Ag", "functional": "PBE-GGA", "state": "optimized geometry", "lattice_angstrom": [[5.142, 0.000, 0.000], [0.000, 5.142, 0.000], [0.000, 0.000, 5.142]], "species": ["La", "Hf", "Ag", "Hf", "Hf"], "fractional_positions": [[0.000, 0.000, 0.000], [0.000, 0.000, 0.500], [0.500, 0.500, 0.500], [0.500, 0.000, 0.000], [0.000, 0.500, 0.000]], "delta_e_f_ev_per_atom": 1.62, "relative_energy_mev_per_atom": 817, "magmom_total_mub_per_fu": 0.00, "vol_a3_per_atom": 27.19}

---

{"formula": "Tl3SnHg4", "functional": "PBE-GGA", "state": "optimized geometry", "lattice_angstrom": [[3.767, 0.000, 0.000], [0.000, 3.767, 0.000], [0.000, 0.000, 15.912]], "species": ["Sn", "Hg", "Tl", "Hg", "Hg", "Hg", "Tl", "Tl"], "fractional_positions": [[0.500, 0.500, 0.000], [0.000, 0.000, 0.372], [0.500, 0.500, 0.243], [0.000, 0.000, 0.628], [0.000, 0.000, 0.883], [0.000, 0.000, 0.117], [0.500, 0.500, 0.757], [0.500, 0.500, 0.500]], "delta_e_f_ev_per_atom": 0.01, "relative_energy_mev_per_atom": 0, "magmom_total_mub_per_fu": 0.00, "vol_a3_per_atom": 28.22}

---

{"formula": "CdCoSbTe2", "functional": "PBE-GGA", "state": "optimized geometry", "lattice_angstrom": [[-1.655, 5.180, 1.302], [-3.363, -1.812, 2.935], [3.646, 0.100, 4.239]], "species": ["Co", "Te", "Te", "Cd", "Sb"], "fractional_positions": [[0.000, 0.500, 0.000], [0.500, 0.000, 0.000], [0.000, 0.000, 0.500], [0.000, 0.000, 0.000], [0.500, 0.500, 0.500]], "formation_energy_uncorrected_ev_per_atom": 0.97, "relative_energy_mev_per_atom": 665, "magmom_total_mub_per_fu": 2.03, "vol_a3_per_atom": 30.12}

---

{"formula": "HfTc3Os", "functional": "PBE-GGA", "state": "optimized geometry", "lattice_angstrom": [[-4.479, 0.457, -0.965], [-0.439, -4.581, -0.131], [-0.973, -0.036, 4.500]], "species": ["Hf", "Os", "Tc", "Tc", "Tc"], "fractional_positions": [[0.000, 0.000, 0.000], [0.500, 0.500, 0.500], [0.000, 0.000, 0.500], [0.000, 0.500, 0.000], [0.500, 0.000, 0.000]], "delta_e_f_ev_per_atom": 2.31, "relative_energy_mev_per_atom": 1043, "magmom_total_mub_per_fu": 0.00, "vol_a3_per_atom": 19.52}

---

{"formula": "YCrCl2", "functional": "PBE-GGA", "state": "optimized geometry", "lattice_angstrom": [[-6.737, 7.028, -3.714], [-7.928, 4.137, -5.350], [-8.982, 4.864, -2.062]], "species": ["Cl", "Y", "Cl", "Cr"], "fractional_positions": [[0.476, 0.476, 0.476], [0.750, 0.750, 0.750], [0.024, 0.024, 0.024], [0.250, 0.250, 0.250]], "formation_energy_uncorrected_ev_per_atom": -0.68, "relative_energy_mev_per_atom": 136, "magmom_total_mub_per_fu": 4.59, "vol_a3_per_atom": 27.55}

---

{"formula": "TlCuNi2As", "functional": "PBE-GGA", "state": "optimized geometry", "lattice_angstrom": [[4.752, 0.000, 0.000], [0.000, 4.747, 0.000], [0.000, 0.000, 4.752]], "species": ["Ni", "Ni", "Cu", "Tl", "As"], "fractional_positions": [[0.000, 0.000, 0.500], [0.500, 0.000, 0.000], [0.000, 0.500, 0.000], [0.000, 0.000, 0.000], [0.500, 0.500, 0.500]], "delta_e_f_ev_per_atom": 1.25, "magmom_total_mub_per_fu": 0.00, "vol_a3_per_atom": 21.43}

---

{"formula": "PmEuZnPt", "functional": "PBE-GGA", "state": "optimized geometry", "lattice_angstrom": [[-1.710, 0.645, -4.792], [-2.325, -3.868, -2.435], [-5.042, 0.209, -0.918]], "species": ["Pt", "Eu", "Zn", "Pm"], "fractional_positions": [[0.000, 0.000, 0.000], [0.250, 0.250, 0.250], [0.500, 0.500, 0.500], [0.750, 0.750, 0.750]], "delta_e_f_ev_per_atom": -0.65, "magmom_total_mub_per_fu": 6.92, "vol_a3_per_atom": 23.85}

---

{"formula": "VTcNi2", "functional": "PBE-GGA", "state": "optimized geometry", "lattice_angstrom": [[3.809, 0.000, 0.000], [0.000, 3.590, 0.000], [0.000, 0.000, 3.590]], "species": ["Ni", "Ni", "Tc", "V"], "fractional_positions": [[0.000, 0.000, 0.500], [0.000, 0.500, 0.000], [0.500, 0.500, 0.500], [0.500, 0.000, 0.000]], "delta_e_f_ev_per_atom": -0.15, "relative_energy_mev_per_atom": 0, "magmom_total_mub_per_fu": 0.00, "vol_a3_per_atom": 12.27}